Entry 1:
TaCdSnBr: relaxed, GGA-PBE.

## Properties
Formation energy from raw total energies = 0.219 eV/atom
Total DFT energy (no corrections) = -17.6 eV per formula unit
Energy above the most stable polymorph in this dataset = 278 meV per atom
DOS(E_F) = 5.0 states/eV per cell
Total magnetic moment = 0.000 μB/atom

Cell lengths 5.317, 3.152, 11.181 Å; angles 90.00, 103.91, 90.00 degrees
Element x y z (fractional)
Cd: 0.148 0.000 0.522
Cd: 0.148 0.500 0.022
Br: 0.038 0.500 0.760
Br: 0.038 0.000 0.260
Ta: 0.525 0.500 0.701
Ta: 0.525 0.000 0.201
Sn: 0.635 0.000 0.950
Sn: 0.635 0.500 0.450



Entry 2:
TaCdSnBr: relaxed, GGA-PBE.

## Properties
Formation energy from raw total energies = 0.063 eV/atom
Total DFT energy (no corrections) = -18.2 eV per formula unit
Energy above the most stable polymorph in this dataset = 122 meV per atom
DOS(E_F) = 2.7 states/eV per cell
Total magnetic moment = 0.000 μB/atom

Cell lengths 3.126, 3.809, 19.073 Å; angles 90.00, 94.67, 90.00 degrees
Element x y z (fractional)
Cd: 0.638 0.500 0.503
Cd: 0.638 0.000 0.003
Br: 0.482 0.000 0.681
Br: 0.482 0.500 0.181
Ta: 0.036 0.500 0.289
Ta: 0.036 0.000 0.789
Sn: 0.576 0.500 0.870
Sn: 0.576 0.000 0.370



Entry 3:
TaCdSnBr: relaxed, GGA-PBE.

## Properties
Formation energy from raw total energies = 0.095 eV/atom
Total DFT energy (no corrections) = -18.1 eV per formula unit
Energy above the most stable polymorph in this dataset = 153 meV per atom
DOS(E_F) = 1.3 states/eV per cell
Total magnetic moment = 0.000 μB/atom

Cell lengths 3.145, 5.746, 5.909 Å; angles 67.61, 79.39, 74.14 degrees
Element x y z (fractional)
Sn: 0.849 0.350 0.944
Ta: 0.573 0.890 0.988
Cd: 0.204 0.006 0.517
Br: 0.099 0.598 0.335



Entry 4:
TaCdSnBr: relaxed, GGA-PBE.

## Properties
Formation energy from raw total energies = 0.134 eV/atom
Total DFT energy (no corrections) = -17.9 eV per formula unit
Energy above the most stable polymorph in this dataset = 192 meV per atom
DOS(E_F) = 3.5 states/eV per cell
Total magnetic moment = 0.000 μB/atom

Cell lengths 7.741, 5.503, 5.499 Å; angles 90.00, 110.57, 90.00 degrees
Element x y z (fractional)
Cd: 0.213 0.000 0.710
Cd: 0.213 0.500 0.210
Sn: 0.561 0.000 0.378
Sn: 0.561 0.500 0.878
Br: 0.966 0.500 0.579
Br: 0.966 0.000 0.079
Ta: 0.605 0.500 0.400
Ta: 0.605 0.000 0.900



Entry 5:
TaCdSnBr: relaxed, GGA-PBE.

## Properties
Formation energy from raw total energies = 0.331 eV/atom
Total DFT energy (no corrections) = -17.1 eV per formula unit
Energy above the most stable polymorph in this dataset = 389 meV per atom
DOS(E_F) = 3.8 states/eV per cell
Total magnetic moment = 0.000 μB/atom

Cell lengths 5.001, 5.001, 5.262 Å; angles 90.00, 90.00, 120.00 degrees
Element x y z (fractional)
Sn: 0.000 0.000 0.518
Ta: 0.333 0.667 0.490
Br: 0.333 0.667 0.978
Cd: 0.667 0.333 0.360



Entry 6:
TlCdSnBr5: relaxed, GGA-PBE.

## Properties
Formation energy from raw total energies = -0.812 eV/atom
Total DFT energy (no corrections) = -22.1 eV per formula unit
DOS(E_F) = 0.0 states/eV per cell
Total magnetic moment = 0.000 μB/atom

Cell lengths 8.110, 8.110, 10.739 Å; angles 104.00, 104.00, 106.17 degrees
Element x y z (fractional)
Br: 0.736 0.621 0.446
Br: 0.916 0.336 0.118
Br: 0.084 0.664 0.882
Br: 0.379 0.264 0.054
Br: 0.090 0.910 0.250
Br: 0.264 0.379 0.554
Br: 0.664 0.084 0.382
Br: 0.621 0.736 0.946
Br: 0.910 0.090 0.750
Br: 0.336 0.916 0.618
Cd: 0.680 0.320 0.250
Cd: 0.320 0.680 0.750
Tl: 0.658 0.342 0.750
Tl: 0.342 0.658 0.250
Sn: 0.000 0.000 0.500
Sn: 0.000 0.000 0.000



Entry 7:
Tl2CdSnBr6: relaxed, GGA-PBE.

## Properties
Formation energy from raw total energies = -0.815 eV/atom
Total DFT energy (no corrections) = -27.8 eV per formula unit
DOS(E_F) = 0.0 states/eV per cell
Total magnetic moment = 0.000 μB/atom

Cell lengths 7.923, 7.923, 8.042 Å; angles 60.47, 60.47, 59.98 degrees
Element x y z (fractional)
Br: 0.480 0.649 0.779
Br: 0.649 0.092 0.779
Br: 0.092 0.480 0.779
Br: 0.164 0.994 0.265
Br: 0.577 0.164 0.265
Br: 0.993 0.577 0.265
Tl: 0.034 0.034 0.897
Tl: 0.536 0.536 0.392
Sn: 0.818 0.818 0.547
Cd: 0.318 0.318 0.046



Entry 8:
Tl2CdSnBr: relaxed, GGA-PBE.

## Properties
Formation energy from raw total energies = 0.070 eV/atom
Total DFT energy (no corrections) = -11.0 eV per formula unit
DOS(E_F) = 2.2 states/eV per cell
Total magnetic moment = 0.000 μB/atom

Cell lengths 6.011, 5.740, 6.011 Å; angles 90.00, 90.00, 90.00 degrees
Element x y z (fractional)
Cd: 0.500 0.500 0.500
Tl: 0.500 0.000 0.000
Tl: 0.000 0.000 0.500
Sn: 0.000 0.000 0.000
Br: 0.000 0.500 0.000